Entry 1:
Material: CoSiCl2
Method: DFT, SCAN
State: PBEsol geometry

CIF file:
```
data_CoSiCl2
_cell_length_a 6.308
_cell_length_b 6.308
_cell_length_c 6.308
_cell_angle_alpha 90.00
_cell_angle_beta 90.00
_cell_angle_gamma 90.00
_symmetry_space_group_name_H-M 'F -4 3 m'
_symmetry_Int_Tables_number 216
_symmetry_space_group_name_Hall 'F -4 2 3'
loop_
_atom_site_label
_atom_site_type_symbol
_atom_site_fract_x
_atom_site_fract_y
_atom_site_fract_z
Co1 Co 0.000 0.000 0.000
Si1 Si 0.250 0.250 0.750
Cl1 Cl 0.000 0.000 0.500
Cl2 Cl 0.250 0.250 0.250
```

Computed properties:
* formation energy from raw total energies: 3.01 eV per formula unit

***

Entry 2:
Material: CoSi2Cl
Method: DFT, SCAN
State: PBEsol geometry

CIF file:
```
data_CoSi2Cl
_cell_length_a 3.877
_cell_length_b 3.877
_cell_length_c 7.416
_cell_angle_alpha 90.00
_cell_angle_beta 90.00
_cell_angle_gamma 90.00
_symmetry_space_group_name_H-M 'I 4/m m m'
_symmetry_Int_Tables_number 139
_symmetry_space_group_name_Hall '-I 4 2'
loop_
_atom_site_label
_atom_site_type_symbol
_atom_site_fract_x
_atom_site_fract_y
_atom_site_fract_z
Co1 Co 0.000 0.000 0.000
Si1 Si 0.000 0.500 0.250
Cl1 Cl 0.000 0.000 0.500
```

Computed properties:
* formation energy from raw total energies: 3.08 eV per formula unit

***

Entry 3:
Material: CoSiCl2
Method: DFT, SCAN
State: PBEsol geometry

CIF file:
```
data_CoSiCl2
_cell_length_a 3.021
_cell_length_b 5.592
_cell_length_c 8.192
_cell_angle_alpha 90.00
_cell_angle_beta 90.00
_cell_angle_gamma 90.00
_symmetry_space_group_name_H-M 'C m m m'
_symmetry_Int_Tables_number 65
_symmetry_space_group_name_Hall '-C 2 2'
loop_
_atom_site_label
_atom_site_type_symbol
_atom_site_fract_x
_atom_site_fract_y
_atom_site_fract_z
Co1 Co 0.000 0.000 0.000
Si1 Si 0.000 0.000 0.500
Cl1 Cl 0.000 0.500 0.208
```

Computed properties:
* formation energy from raw total energies: 0.43 eV per formula unit

***

Entry 4:
Material: CoSiCl2
Method: DFT, SCAN
State: PBEsol geometry

CIF file:
```
data_CoSiCl2
_cell_length_a 2.944
_cell_length_b 2.944
_cell_length_c 8.325
_cell_angle_alpha 90.00
_cell_angle_beta 90.00
_cell_angle_gamma 90.00
_symmetry_space_group_name_H-M 'P 4 m m'
_symmetry_Int_Tables_number 99
_symmetry_space_group_name_Hall 'P 4 -2'
loop_
_atom_site_label
_atom_site_type_symbol
_atom_site_fract_x
_atom_site_fract_y
_atom_site_fract_z
Co1 Co 0.000 0.000 0.000
Si1 Si 0.500 0.500 0.870
Cl1 Cl 0.000 0.000 0.255
Cl2 Cl 0.500 0.500 0.627
```

Computed properties:
* formation energy from raw total energies: -1.15 eV per formula unit